(1)
The following is a SCAN calculation of a crystal of LiGa2I relaxed with PBEsol, from Alexandria via LeMat-Bulk.

Cell lengths 7.351, 7.351, 7.351 Å; angles 90.00, 90.00, 90.00 degrees
Space group Fm-3m (No. 225)
One atom of each set of equivalent atoms:
Li1 0.000 0.000 0.000
Ga1 0.250 0.250 0.250
I1 0.000 0.000 0.500

Summary:
energy = -281.956 eV per cell
formation energy (no corrections) = 334 meV per atom
theoretical density = 4.6 Mg/m³
Fermi-level density of states = 16.2 states/eV per cell

=====

(2)
The following is a SCAN calculation of a crystal of Li4Ga3Si3IO12 relaxed with PBEsol, from Alexandria via LeMat-Bulk.

Cell lengths 8.633, 8.633, 8.633 Å; angles 90.00, 90.00, 90.00 degrees
Space group P-43n (No. 218)
One atom of each set of equivalent atoms:
Li1 0.188 0.188 0.188
Ga1 0.000 0.250 0.500
Si1 0.000 0.500 0.250
I1 0.000 0.000 0.000
O1 0.094 0.370 0.648

Summary:
energy = -515.453 eV per cell
formation energy (no corrections) = -2503 meV per atom
theoretical density = 3.3 Mg/m³
Fermi-level density of states = 0.0 states/eV per cell

=====

(3)
The following is a SCAN calculation of a crystal of Li2GaWI relaxed with PBEsol, from Alexandria via LeMat-Bulk.

Cell lengths 4.666, 4.666, 5.123 Å; angles 90.00, 90.00, 90.00 degrees
Space group P4/mmm (No. 123)
One atom of each set of equivalent atoms:
Li1 0.000 0.500 0.000
Ga1 0.000 0.000 0.500
W1 0.500 0.500 0.500
I1 0.500 0.500 0.000

Summary:
energy = -121.796 eV per cell
formation energy (no corrections) = 1152 meV per atom
theoretical density = 5.9 Mg/m³
Fermi-level density of states = 4.6 states/eV per cell

=====

(4)
The following is a SCAN calculation of a crystal of MgGaI2O relaxed with PBEsol, from Alexandria via LeMat-Bulk.

Cell lengths 5.707, 5.707, 3.659 Å; angles 90.00, 90.00, 90.00 degrees
Space group P4/mmm (No. 123)
One atom of each set of equivalent atoms:
Mg1 0.000 0.000 0.000
Ga1 0.500 0.500 0.500
I1 0.000 0.500 0.500
O1 0.500 0.500 0.000

Summary:
energy = -103.816 eV per cell
formation energy (no corrections) = -556 meV per atom
theoretical density = 5.1 Mg/m³
Fermi-level density of states = 1.1 states/eV per cell